# SmGaSnAu | the Alexandria database | GGA-PBE | relaxed
data_SmGaSnAu
_space_group_name_H-M_alt 'P 1'
_space_group_IT_number 1
_cell_length_a 5.0664
_cell_length_b 5.0664
_cell_length_c 5.0664
_cell_angle_alpha 60.00
_cell_angle_beta 60.00
_cell_angle_gamma 60.00
loop_
_space_group_symop_operation_xyz
'x,y,z'
loop_
_atom_site_label
_atom_site_type_symbol
_atom_site_fract_x
_atom_site_fract_y
_atom_site_fract_z
Ga1 Ga 0.5000 0.5000 0.5000
Au1 Au 0.0000 0.0000 0.0000
Sm1 Sm 0.7500 0.7500 0.7500
Sn1 Sn 0.2500 0.2500 0.2500
# * total magnetic moment: 0.0 Bohr magnetons per cell
# * volume: 23.0 A^3/atom
# * energy of formation from the pure elements: -1.863 eV per formula unit
# * D(E_F): 3.644 states/eV/f.u.